First-principles (PBE with a Hubbard U) data for crystalline DyYV2O8 at its relaxed geometry, as listed in Alexandria via LeMat-Bulk.

E: -98.45 eV/f.u.
N(E_F): 0.00 states/eV/f.u.

abc: 6.0132 6.0132 6.0132
angles: 106.24 106.24 116.15
Element x y z (fractional)
O1 0.3896 0.0740 0.3156
O2 0.7584 0.0740 0.6844
O3 0.3247 0.5098 0.1850
O4 0.9260 0.2416 0.3156
O5 0.4902 0.6753 0.8150
O6 0.3247 0.1397 0.8150
O7 0.9260 0.6104 0.6844
O8 0.8603 0.6753 0.1850
Y1 0.0000 0.0000 0.0000
V1 0.5000 0.5000 0.0000
V2 0.7500 0.2500 0.5000
Dy1 0.2500 0.7500 0.5000